DFT (PBE-GGA) results for a relaxed BiIr3Au crystal.

Values from the calculation:
- Symmetry: Pm-3m, No. 221
- DOS(E_F): 10.68 states/eV/cell
- Energy relative to the elements: 9.560 eV per formula unit
- Raw total energy: -0.3555 Ry per atom
- Energy above the most stable polymorph in this dataset: 0 meV per atom

Geometry as CIF:
```
data_BiIr3Au
_cell_length_a 4.9048
_cell_length_b 4.9048
_cell_length_c 4.9048
_cell_angle_alpha 90.00
_cell_angle_beta 90.00
_cell_angle_gamma 90.00
_space_group_name_H-M_alt 'P 1'
_space_group_IT_number 1
_space_group_name_Hall 'P 1'
loop_
_atom_site_label
_atom_site_type_symbol
_atom_site_fract_x
_atom_site_fract_y
_atom_site_fract_z
Bi1 Bi 0.0000 0.0000 0.0000
Ir1 Ir 0.0000 0.5000 0.5000
Ir2 Ir 0.5000 0.0000 0.5000
Ir3 Ir 0.5000 0.5000 0.0000
Au1 Au 0.5000 0.5000 0.5000
```